A plane-wave DFT calculation with PBE-GGA was carried out for a geometry-optimized La8Tb5Ce structure.

```
La8Tb5Ce
1.0
6.2090 -4.8756 0.0000
6.2090 4.8756 0.0000
-6.1381 0.0000 8.2060
La Tb Ce
8 5 1
Cartesian
-0.4713 0.0000 1.7176
0.5944 1.5410 4.6135
-2.5729 -0.3768 7.7166
5.6855 1.5410 3.5925
2.4616 -1.9094 2.5145
8.8528 -0.3768 0.4894
3.8183 -1.9094 5.6915
6.7512 0.0000 6.4885
2.7720 1.6017 1.9845
6.2090 1.8233 0.0000
3.5079 1.6017 6.2216
0.3399 -1.3380 6.3020
5.9400 -1.3380 1.9041
3.1400 4.5230 4.1030
```

Summary:
Total magnetization ... 0.989 μB per formula unit
D(E_F) ... 23.86 states/eV/cell
Theoretical density ... 6.8 g/cm³
Energy ... -4.70 eV per atom
Crystal system ... monoclinic
Energy of formation ... 2.8 eV per formula unit